*1*
Computed, not measured: a geometry-optimized TbPrTmCd structure at the PBE level of DFT.

Cell: 5.5049 5.5049 5.5049 Å, 60.00 60.00 60.00°
Last column: nearest neighbours and their distance in Å.
Element x y z (fractional)
Tb  0.0000  0.0000  0.0000  4 Cd 3.37, 4 Tm 3.37
Pr  0.5000  0.5000  0.5000  4 Tm 3.37, 4 Cd 3.37
Tm  0.2500  0.2500  0.2500  4 Pr 3.37, 4 Tb 3.37
Cd  0.7500  0.7500  0.7500  4 Pr 3.37, 4 Tb 3.37

Summary:
Symmetry: F-43m (216)
Magnetic moment in μB/f.u.: 0.0


*2*
Computed, not measured: a geometry-optimized TbPrTmCd structure at the PBE level of DFT.

Cell: 3.6372 3.6372 9.0064 Å, 90.00 90.00 90.00°
Last column: nearest neighbours and their distance in Å.
Element x y z (fractional)
Tb  0.0000  0.0000  0.0000  4 Cd 3.28, 4 Pr 3.62, 4 Tb 3.64
Pr  0.5000  0.5000  0.2835  4 Tm 3.59, 4 Tb 3.62, 4 Pr 3.64
Tm  0.0000  0.0000  0.5619  4 Cd 3.21, 4 Pr 3.59
Cd  0.5000  0.5000  0.7748  4 Tm 3.21, 4 Tb 3.28

Summary:
Symmetry: P4mm (99)
Magnetic moment in μB/f.u.: 0.0


Most stable: *2* (next structure +10.2 kJ/mol of atoms)


*1*
Computed, not measured: a geometry-optimized TbPrZnCd structure at the PBE level of DFT.

Cell: 5.2945 5.2945 5.2945 Å, 60.00 60.00 60.00°
Last column: nearest neighbours and their distance in Å.
Element x y z (fractional)
Tb  0.0000  0.0000  0.0000  4 Cd 3.24, 4 Zn 3.24
Pr  0.5000  0.5000  0.5000  4 Cd 3.24, 4 Zn 3.24
Zn  0.7500  0.7500  0.7500  4 Tb 3.24, 4 Pr 3.24
Cd  0.2500  0.2500  0.2500  4 Tb 3.24, 4 Pr 3.24

Summary:
Symmetry: F-43m (216)
Magnetic moment in μB/f.u.: 0.3


*2*
Computed, not measured: a geometry-optimized TbPrZnCd structure at the PBE level of DFT.

Cell: 3.6795 3.6795 7.6766 Å, 90.00 90.00 90.00°
Last column: nearest neighbours and their distance in Å.
Element x y z (fractional)
Tb  0.0000  0.0000  0.0000  4 Zn 3.07, 4 Cd 3.25
Pr  0.0000  0.0000  0.5390  4 Zn 3.23, 4 Cd 3.40, 1 Tb 3.54
Zn  0.5000  0.5000  0.7874  4 Tb 3.07, 4 Pr 3.23
Cd  0.5000  0.5000  0.2534  4 Tb 3.25, 4 Pr 3.40, 1 Zn 3.58

Summary:
Symmetry: P4mm (99)
Magnetic moment in μB/f.u.: 0.0


Most stable: *2* (next structure +2.9 kJ/mol of atoms)